1.
## TbErSnTe (PBE)

Data for an optimized crystal structure of TbErSnTe.

## Properties
Theoretical density in g/cm³: 7.95
Uncorrected formation energy in eV per atom: -1.0280
E in eV per atom: -5.112
N(E_F) in states/eV/atom: 0.29

```
data_TbErSnTe
_chemical_formula_sum 'Tb3 Er3 Sn3 Te3'
_cell_length_a 4.3798
_cell_length_b 4.3798
_cell_length_c 21.5852
_cell_angle_alpha 90.00
_cell_angle_beta 90.00
_cell_angle_gamma 120.00
_space_group_name_H-M_alt 'R 3 m'
_space_group_IT_number 160
_space_group_name_Hall 'R 3 -2"'
loop_
_atom_site_label
_atom_site_fract_x
_atom_site_fract_y
_atom_site_fract_z
Tb1 0.0000 0.0000 0.0000
Er1 0.0000 0.0000 0.5089
Sn1 0.0000 0.0000 0.2534
Te1 0.0000 0.0000 0.7557
```

***

2.
## Tm2Re2C3 (PBE)

Data for an optimized crystal structure of Tm2Re2C3.

## Properties
Energy of formation in kJ per mole of atoms: -36
Theoretical density in g/cm³: 12.71
E in eV per atom: -9.159
N(E_F) in states/eV/atom: 0.34

```
data_Tm2Re2C3
_chemical_formula_sum 'Tm4 Re4 C6'
_cell_length_a 11.6624
_cell_length_b 3.2321
_cell_length_c 5.6250
_cell_angle_alpha 90.00
_cell_angle_beta 113.15
_cell_angle_gamma 90.00
_space_group_name_H-M_alt 'C 1 2/m 1'
_space_group_IT_number 12
loop_
_space_group_symop_operation_xyz
'x,y,z'
'-x,-y,-z'
'-x,y,-z'
'x,-y,z'
'x+1/2,y+1/2,z'
'-x+1/2,-y+1/2,-z'
'-x+1/2,y+1/2,-z'
'x+1/2,-y+1/2,z'
loop_
_atom_site_label
_atom_site_fract_x
_atom_site_fract_y
_atom_site_fract_z
Tm1 0.1106 0.0000 0.3190
Re1 0.1539 0.5000 0.8229
C1 0.0000 0.5000 0.5000
C2 0.2460 0.5000 0.2357
```

***

3.
## TlCr3Se (PBE)

Data for an optimized crystal structure of TlCr3Se.

## Properties
Theoretical density in g/cm³: 6.70
Uncorrected formation energy in eV per atom: 0.6940
E in eV per atom: -6.250
N(E_F) in states/eV/atom: 1.15

```
data_TlCr3Se
_chemical_formula_sum 'Tl1 Cr3 Se1'
_cell_length_a 4.7751
_cell_length_b 4.7751
_cell_length_c 4.7751
_cell_angle_alpha 90.00
_cell_angle_beta 90.00
_cell_angle_gamma 90.00
_space_group_name_H-M_alt 'P m -3 m'
_space_group_IT_number 221
_space_group_name_Hall '-P 4 2 3'
loop_
_atom_site_label
_atom_site_fract_x
_atom_site_fract_y
_atom_site_fract_z
Tl1 0.0000 0.0000 0.0000
Cr1 0.0000 0.5000 0.5000
Se1 0.5000 0.5000 0.5000
```

***

Question: N(E_F) of number 3 (TlCr3Se)?
Answer: 1.15 states/eV/atom

***

Copy entry 2 word for word.
## Tm2Re2C3 (PBE)

Data for an optimized crystal structure of Tm2Re2C3.

## Properties
Energy of formation in kJ per mole of atoms: -36
Theoretical density in g/cm³: 12.71
E in eV per atom: -9.159
N(E_F) in states/eV/atom: 0.34

```
data_Tm2Re2C3
_chemical_formula_sum 'Tm4 Re4 C6'
_cell_length_a 11.6624
_cell_length_b 3.2321
_cell_length_c 5.6250
_cell_angle_alpha 90.00
_cell_angle_beta 113.15
_cell_angle_gamma 90.00
_space_group_name_H-M_alt 'C 1 2/m 1'
_space_group_IT_number 12
loop_
_space_group_symop_operation_xyz
'x,y,z'
'-x,-y,-z'
'-x,y,-z'
'x,-y,z'
'x+1/2,y+1/2,z'
'-x+1/2,-y+1/2,-z'
'-x+1/2,y+1/2,-z'
'x+1/2,-y+1/2,z'
loop_
_atom_site_label
_atom_site_fract_x
_atom_site_fract_y
_atom_site_fract_z
Tm1 0.1106 0.0000 0.3190
Re1 0.1539 0.5000 0.8229
C1 0.0000 0.5000 0.5000
C2 0.2460 0.5000 0.2357
```

***

Question: N(E_F) of number 1 (TbErSnTe)?
Answer: 0.29 states/eV/atom